(one)
Entry from the Alexandria database: an optimized crystal structure of Te2IrRuI (PBE).

Cell lengths 5.2011, 5.2011, 5.4585 Å; angles 90.00, 90.00, 90.00 degrees
With the nearest neighbours (Å) after each atom.
Atoms (fractional coordinates):
Ir 0.0000 0.0000 0.0000  4 Te 2.60, 2 I 2.73
Te 0.0000 0.5000 0.0000  2 Ir 2.60
Te 0.5000 0.0000 0.0000  2 Ir 2.60
I 0.0000 0.0000 0.5000  2 Ir 2.73
Ru 0.5000 0.5000 0.5000  4 I 3.68, 8 Te 3.77

## Properties
**Symmetry**: P4/mmm
**Fermi-level density of states**: 1.42 states/eV per atom
**Volume**: 147.66 Å³ per cell
**Crystal system**: tetragonal

(two)
Entry from the Alexandria database: an optimized crystal structure of Te2IrRuI (PBE).

Cell lengths 5.0513, 5.0513, 5.3430 Å; angles 90.00, 90.00, 90.00 degrees
With the nearest neighbours (Å) after each atom.
Atoms (fractional coordinates):
Ru 0.0000 0.0000 0.0000  4 Te 2.53, 2 I 2.67
Te 0.0000 0.5000 0.0000  2 Ru 2.53
Te 0.5000 0.0000 0.0000  2 Ru 2.53
Ir 0.5000 0.5000 0.5000  4 I 3.57, 8 Te 3.68
I 0.0000 0.0000 0.5000  2 Ru 2.67

## Properties
**Symmetry**: P4/mmm
**Fermi-level density of states**: 1.38 states/eV per atom
**Volume**: 136.33 Å³ per cell
**Crystal system**: tetragonal

Energy ordering: (one) at the bottom, the next structure 73 meV per atom above.